A plane-wave DFT calculation with PBE was carried out for crystalline Pm8In3Sn2 at its relaxed geometry. Values from VASP.

Quantum ESPRESSO input file:
```
&SYSTEM
  ibrav = 0, nat = 13, ntyp = 3
/
ATOMIC_SPECIES
Pm 145.00 Pm.upf
In 114.82 In.upf
Sn 118.71 Sn.upf
CELL_PARAMETERS angstrom
5.2967 -7.7130 0.0000
5.2967 7.7130 0.0000
0.0000 0.0000 5.2389
ATOMIC_POSITIONS angstrom
Pm 5.2967 5.8870 0.0000
Pm 2.6216 1.9504 2.6195
Pm 5.2967 2.0626 0.0000
Pm 2.6216 -1.9504 2.6195
Pm 7.9718 1.9504 2.6195
Pm 5.2967 -2.0626 0.0000
Pm 7.9718 -1.9504 2.6195
Pm 5.2967 -5.8870 0.0000
In 2.7033 0.0000 0.0000
In 5.2967 0.0000 2.6195
In 7.8901 0.0000 0.0000
Sn 5.2967 3.9536 2.6195
Sn 5.2967 -3.9536 2.6195
```

Values from the calculation:
Raw total energy ... -4.541 eV per atom
Space-group type ... No. 65

---

A plane-wave DFT calculation with PBE was carried out for crystalline Pm2InSn4 at its relaxed geometry. Values from VASP.

Quantum ESPRESSO input file:
```
&SYSTEM
  ibrav = 0, nat = 7, ntyp = 3
/
ATOMIC_SPECIES
Pm 145.00 Pm.upf
In 114.82 In.upf
Sn 118.71 Sn.upf
CELL_PARAMETERS angstrom
4.4984 0.0000 0.0000
0.0000 4.4984 0.0000
0.0000 0.0000 9.9682
ATOMIC_POSITIONS angstrom
Pm 0.0000 2.2492 2.4730
Pm 2.2492 0.0000 7.4953
In 2.2492 2.2492 0.0000
Sn 0.0000 0.0000 4.9841
Sn 0.0000 2.2492 8.0109
Sn 2.2492 0.0000 1.9573
Sn 2.2492 2.2492 4.9841
```

Values from the calculation:
Relative energy among the computed polymorphs ... 0.034 eV per atom
Space-group type ... No. 115

---

A plane-wave DFT calculation with PBE was carried out for crystalline Pm9InSn2 at its relaxed geometry. Values from VASP.

Quantum ESPRESSO input file:
```
&SYSTEM
  ibrav = 0, nat = 12, ntyp = 3
/
ATOMIC_SPECIES
Pm 145.00 Pm.upf
In 114.82 In.upf
Sn 118.71 Sn.upf
CELL_PARAMETERS angstrom
4.9331 0.0000 0.0000
0.0000 4.9331 0.0000
0.0000 0.0000 14.7785
ATOMIC_POSITIONS angstrom
Pm 0.0000 0.0000 0.0000
Pm 0.0000 0.0000 4.9500
Pm 0.0000 0.0000 9.8285
Pm 0.0000 2.4666 2.4976
Pm 0.0000 2.4666 7.3892
Pm 0.0000 2.4666 12.2809
Pm 2.4666 0.0000 2.4976
Pm 2.4666 0.0000 7.3892
Pm 2.4666 0.0000 12.2809
In 2.4666 2.4666 0.0000
Sn 2.4666 2.4666 4.9217
Sn 2.4666 2.4666 9.8568
```

Values from the calculation:
Raw total energy ... -4.855 eV per atom
Space-group type ... No. 123